Below is a relaxed structure of Mg2ZnSi, with properties calculated at the PBE-GGA level.

Output
Crystal system: monoclinic

abc: 10.4712 3.0526 4.7404
angles: 90.00 106.06 90.00
Space group Cm (No. 8)
One atom of each set of equivalent atoms:
Mg (0.0000, 0.0000, 0.0000) (multiplicity 2)
Mg (0.2096, 0.0000, 0.6421) (multiplicity 2)
Zn (0.4535, 0.0000, 0.4771) (multiplicity 2)
Si (0.2526, 0.5000, 0.1649) (multiplicity 2)


Below is a relaxed structure of SrNi2Au, with properties calculated at the PBE-GGA level.

Output
DFT formation energy (kJ/mol of atoms): -20.0
Crystal system: monoclinic

abc: 7.5637 4.3707 5.6690
angles: 90.00 116.76 90.00
Space group C2/m (No. 12)
One atom of each set of equivalent atoms:
Sr (0.0000, 0.0000, 0.0000) (multiplicity 2)
Ni (0.1847, 0.0000, 0.5542) (multiplicity 4)
Au (0.0000, 0.5000, 0.5000) (multiplicity 2)


Below is a relaxed structure of YBiSb2I, with properties calculated at the PBE-GGA level.

Output
Crystal system: tetragonal
E above lowest polymorph (kJ/mol of formula units): 0

abc: 5.9432 5.9432 5.6590
angles: 90.00 90.00 90.00
Space group P4/mmm (No. 123)
One atom of each set of equivalent atoms:
Y (0.0000, 0.0000, 0.0000) (multiplicity 1)
Bi (0.5000, 0.5000, 0.5000) (multiplicity 1)
Sb (0.0000, 0.5000, 0.0000) (multiplicity 2)
I (0.0000, 0.0000, 0.5000) (multiplicity 1)


Below is a relaxed structure of SiHgRh, with properties calculated at the PBE-GGA level.

Output
Crystal system: trigonal
E above lowest polymorph (kJ/mol of formula units): 21

abc: 3.0851 3.0851 6.3701
angles: 90.00 90.00 120.00
Space group P3m1 (No. 156)
One atom of each set of equivalent atoms:
Si (0.0000, 0.0000, 0.0000) (multiplicity 1)
Hg (0.6667, 0.3333, 0.3842) (multiplicity 1)
Rh (0.3333, 0.6667, 0.7555) (multiplicity 1)


Below is a relaxed structure of Ba2NaMg, with properties calculated at the PBE-GGA level.

Output
DFT formation energy (kJ/mol of atoms): 119.2
Crystal system: orthorhombic

abc: 14.6006 15.1950 20.7714
angles: 90.00 90.00 90.00
Space group Immm (No. 71)
One atom of each set of equivalent atoms:
Ba (0.0000, 0.2385, 0.0000) (multiplicity 4)
Na (0.0000, 0.5000, 0.0000) (multiplicity 2)
Mg (0.0000, 0.0000, 0.0000) (multiplicity 2)


Below is a relaxed structure of TlHgF3, with properties calculated at the PBE-GGA level.

Output
Crystal system: monoclinic

abc: 12.1551 4.7127 7.2664
angles: 90.00 101.38 90.00
Space group C2/m (No. 12)
One atom of each set of equivalent atoms:
Tl (0.1188, 0.0000, 0.3636) (multiplicity 4)
Hg (0.1323, 0.5000, 0.9093) (multiplicity 4)
F (0.0738, 0.5000, 0.1829) (multiplicity 4)
F (0.1618, 0.0000, 0.9892) (multiplicity 4)
F (0.1697, 0.5000, 0.6271) (multiplicity 4)


| no. | total moment (μB/cell) | total DFT energy (no corrections) (eV per formula unit) |
| --- | --- | --- |
| 1 | 0.00 | -9.9 |
| 2 | 0.45 | -17.4 |
| 3 | 0.00 | -19.3 |
| 4 | 0.00 | -13.2 |
| 5 | 2.23 | -1.8 |
| 6 | 0.00 | -16.2 |